Entry from Alexandria: LiLa2CuF after structural relaxation (PBE-GGA).

```
data_LiLa2CuF
_chemical_formula_sum 'Li1 La2 Cu1 F1'
_cell_length_a 5.848
_cell_length_b 5.848
_cell_length_c 4.030
_cell_angle_alpha 90.00
_cell_angle_beta 90.00
_cell_angle_gamma 90.00
_symmetry_space_group_name_H-M 'P 4/m m m'
_symmetry_Int_Tables_number 123
_symmetry_space_group_name_Hall '-P 4 2'
loop_
_atom_site_label
_atom_site_fract_x
_atom_site_fract_y
_atom_site_fract_z
Li1 0.000 0.000 0.000
La1 0.000 0.500 0.500
Cu1 0.500 0.500 0.500
F1 0.500 0.500 0.000
```

Output
The energy above the most stable polymorph in this dataset is 872 meV per atom. As for the total energy: -18.50 eV for the cell shown. The calculation puts the volume at 138 Å³/cell. Its formation energy from raw total energies is -0.15 eV/atom.